Material: KCO3
Method: DFT, PBE
State: optimized geometry

The uncorrected formation energy comes out at 0.649 eV per atom.

a b c (Å): 3.5653 3.5653 3.5653
angles (deg): 90.00 90.00 90.00
Space group Pm-3m (No. 221)
One atom of each set of equivalent atoms:
1 K 0.0000 0.0000 0.0000 (multiplicity 1)
2 C 0.5000 0.5000 0.5000 (multiplicity 1)
3 O 0.0000 0.5000 0.5000 (multiplicity 3)

=====

Material: Zr2GeSe
Method: DFT, PBE
State: optimized geometry

The uncorrected formation energy comes out at -0.290 eV per atom.

a b c (Å): 6.0537 6.0537 12.2518
angles (deg): 90.00 90.00 90.00
Space group I-42d (No. 122)
One atom of each set of equivalent atoms:
1 Zr 0.2434 0.2500 0.1250 (multiplicity 8)
2 Ge 0.0000 0.0000 0.0000 (multiplicity 4)
3 Se 0.0000 0.0000 0.5000 (multiplicity 4)

=====

Material: NdDy2Cu2
Method: DFT, PBE
State: optimized geometry

For the formation energy from the elements, the calculation gives -113 meV per atom.

a b c (Å): 4.9940 4.6672 10.7929
angles (deg): 90.00 96.69 90.00
Space group P2_1/m (No. 11)
One atom of each set of equivalent atoms:
1 Nd 0.1921 0.2500 0.2436 (multiplicity 2)
2 Dy 0.2492 0.7500 0.4949 (multiplicity 2)
3 Dy 0.3449 0.2500 0.8858 (multiplicity 2)
4 Cu 0.1246 0.7500 0.0051 (multiplicity 2)
5 Cu 0.2834 0.2500 0.6336 (multiplicity 2)

=====

Material: SiB3Ru
Method: DFT, PBE
State: optimized geometry

The uncorrected formation energy comes out at 1.312 eV per atom.

a b c (Å): 4.0726 4.0726 4.0726
angles (deg): 90.00 90.00 90.00
Space group Pm-3m (No. 221)
One atom of each set of equivalent atoms:
1 Si 0.0000 0.0000 0.0000 (multiplicity 1)
2 B 0.0000 0.5000 0.5000 (multiplicity 3)
3 Ru 0.5000 0.5000 0.5000 (multiplicity 1)

=====

Calculated volume, record by record: 9.1, 28.1, 25.0, 13.5 A^3/atom
D(E_F), record by record: 3.0, 12.2, 10.8, 4.4 states/eV/cell